(1)
First-principles (GGA-PBEsol) data for TcGeS3 after structural relaxation, as listed in the Alexandria database.

Properties
As for the total DFT energy (no corrections): -24.74 eV per cell. The value obtained for the theoretical density is 4.530 g/cm3. The formation energy from raw total energies comes out at 21.29 kcal/mol of atoms.

CIF file:
```
data_TcGeS3
_space_group_name_H-M_alt 'P m -3 m'
_space_group_IT_number 221
_space_group_name_Hall '-P 4 2 3'
_cell_length_a 4.6075
_cell_length_b 4.6075
_cell_length_c 4.6075
_cell_angle_alpha 90.00
_cell_angle_beta 90.00
_cell_angle_gamma 90.00
loop_
_atom_site_label
_atom_site_type_symbol
_atom_site_fract_x
_atom_site_fract_y
_atom_site_fract_z
Tc1 Tc 0.0000 0.0000 0.0000
Ge1 Ge 0.5000 0.5000 0.5000
S1 S 0.0000 0.5000 0.5000
```

=====

(2)
First-principles (GGA-PBEsol) data for GeTeS3 after structural relaxation, as listed in the Alexandria database.

Properties
As for the total DFT energy (no corrections): -18.86 eV per cell. The value obtained for the theoretical density is 4.055 g/cm3. The formation energy from raw total energies comes out at 12.73 kcal/mol of atoms.

CIF file:
```
data_GeTeS3
_space_group_name_H-M_alt 'P m -3 m'
_space_group_IT_number 221
_space_group_name_Hall '-P 4 2 3'
_cell_length_a 4.9516
_cell_length_b 4.9516
_cell_length_c 4.9516
_cell_angle_alpha 90.00
_cell_angle_beta 90.00
_cell_angle_gamma 90.00
loop_
_atom_site_label
_atom_site_type_symbol
_atom_site_fract_x
_atom_site_fract_y
_atom_site_fract_z
Ge1 Ge 0.0000 0.0000 0.0000
Te1 Te 0.5000 0.5000 0.5000
S1 S 0.0000 0.5000 0.5000
```

=====

(3)
First-principles (GGA-PBEsol) data for ZnGeTe2S after structural relaxation, as listed in the Alexandria database.

Properties
As for the total DFT energy (no corrections): -15.07 eV per cell. The value obtained for the theoretical density is 5.251 g/cm3. The formation energy from raw total energies comes out at 13.32 kcal/mol of atoms.

CIF file:
```
data_ZnGeTe2S
_space_group_name_H-M_alt 'P 4/m m m'
_space_group_IT_number 123
_space_group_name_Hall '-P 4 2'
_cell_length_a 5.2709
_cell_length_b 5.2709
_cell_length_c 4.8412
_cell_angle_alpha 90.00
_cell_angle_beta 90.00
_cell_angle_gamma 90.00
loop_
_atom_site_label
_atom_site_type_symbol
_atom_site_fract_x
_atom_site_fract_y
_atom_site_fract_z
Zn1 Zn 0.0000 0.0000 0.0000
Ge1 Ge 0.5000 0.5000 0.0000
Te1 Te 0.0000 0.5000 0.5000
S1 S 0.5000 0.5000 0.5000
```

=====

(4)
First-principles (GGA-PBEsol) data for ThGeS after structural relaxation, as listed in the Alexandria database.

Properties
As for the total DFT energy (no corrections): -87.37 eV per cell. The value obtained for the theoretical density is 8.602 g/cm3. The formation energy from raw total energies comes out at -33.92 kcal/mol of atoms.

CIF file:
```
data_ThGeS
_space_group_name_H-M_alt 'I 4/m m m'
_space_group_IT_number 139
_space_group_name_Hall '-I 4 2'
_cell_length_a 3.9155
_cell_length_b 3.9155
_cell_length_c 16.9599
_cell_angle_alpha 90.00
_cell_angle_beta 90.00
_cell_angle_gamma 90.00
loop_
_atom_site_label
_atom_site_type_symbol
_atom_site_fract_x
_atom_site_fract_y
_atom_site_fract_z
Th1 Th 0.0000 0.0000 0.1414
Ge1 Ge 0.0000 0.5000 0.0000
S1 S 0.0000 0.0000 0.3132
```

=====

(5)
First-principles (GGA-PBEsol) data for TiGeS2 after structural relaxation, as listed in the Alexandria database.

Properties
As for the total DFT energy (no corrections): -76.83 eV per cell. The value obtained for the theoretical density is 4.105 g/cm3. The formation energy from raw total energies comes out at -20.64 kcal/mol of atoms.

CIF file:
```
data_TiGeS2
_space_group_name_H-M_alt 'R -3 m'
_space_group_IT_number 166
_space_group_name_Hall '-R 3 2"'
_cell_length_a 3.2582
_cell_length_b 3.2582
_cell_length_c 24.3743
_cell_angle_alpha 90.00
_cell_angle_beta 90.00
_cell_angle_gamma 120.00
loop_
_atom_site_label
_atom_site_type_symbol
_atom_site_fract_x
_atom_site_fract_y
_atom_site_fract_z
Ti1 Ti 0.0000 0.0000 0.0000
Ge1 Ge 0.0000 0.0000 0.5000
S1 S 0.0000 0.0000 0.3940
```

=====

(6)
First-principles (GGA-PBEsol) data for TiGeS2 after structural relaxation, as listed in the Alexandria database.

Properties
As for the total DFT energy (no corrections): -94.97 eV per cell. The value obtained for the theoretical density is 3.397 g/cm3. The formation energy from raw total energies comes out at -9.88 kcal/mol of atoms.

CIF file:
```
data_TiGeS2
_space_group_name_H-M_alt 'I -4 2 d'
_space_group_IT_number 122
_space_group_name_Hall 'I -4 2bw'
_cell_length_a 5.9221
_cell_length_b 5.9221
_cell_length_c 10.2951
_cell_angle_alpha 90.00
_cell_angle_beta 90.00
_cell_angle_gamma 90.00
loop_
_atom_site_label
_atom_site_type_symbol
_atom_site_fract_x
_atom_site_fract_y
_atom_site_fract_z
Ti1 Ti 0.0000 0.0000 0.0000
Ge1 Ge 0.0000 0.0000 0.5000
S1 S 0.2141 0.7500 0.1250
```

=====

(7)
First-principles (GGA-PBEsol) data for TiGeS3 after structural relaxation, as listed in the Alexandria database.

Properties
As for the total DFT energy (no corrections): -124.12 eV per cell. The value obtained for the theoretical density is 3.671 g/cm3. The formation energy from raw total energies comes out at -21.29 kcal/mol of atoms.

CIF file:
```
data_TiGeS3
_space_group_name_H-M_alt 'P n m a'
_space_group_IT_number 62
_space_group_name_Hall '-P 2ac 2n'
_cell_length_a 8.8636
_cell_length_b 3.4315
_cell_length_c 12.8913
_cell_angle_alpha 90.00
_cell_angle_beta 90.00
_cell_angle_gamma 90.00
loop_
_atom_site_label
_atom_site_type_symbol
_atom_site_fract_x
_atom_site_fract_y
_atom_site_fract_z
Ti1 Ti 0.1543 0.2500 0.0434
Ge1 Ge 0.0644 0.2500 0.6588
S1 S 0.0108 0.2500 0.8873
S2 S 0.1742 0.2500 0.4839
S3 S 0.2321 0.7500 0.7142
```

=====

(8)
First-principles (GGA-PBEsol) data for TlGeS2 after structural relaxation, as listed in the Alexandria database.

Properties
As for the total DFT energy (no corrections): -46.48 eV per cell. The value obtained for the theoretical density is 5.280 g/cm3. The formation energy from raw total energies comes out at 4.87 kcal/mol of atoms.

CIF file:
```
data_TlGeS2
_space_group_name_H-M_alt 'R -3 m'
_space_group_IT_number 166
_space_group_name_Hall '-R 3 2"'
_cell_length_a 3.9393
_cell_length_b 3.9393
_cell_length_c 23.9532
_cell_angle_alpha 90.00
_cell_angle_beta 90.00
_cell_angle_gamma 120.00
loop_
_atom_site_label
_atom_site_type_symbol
_atom_site_fract_x
_atom_site_fract_y
_atom_site_fract_z
Tl1 Tl 0.0000 0.0000 0.0000
Ge1 Ge 0.0000 0.0000 0.5000
S1 S 0.0000 0.0000 0.4088
```

=====

(9)
First-principles (GGA-PBEsol) data for TlGeS2 after structural relaxation, as listed in the Alexandria database.

Properties
As for the total DFT energy (no corrections): -142.70 eV per cell. The value obtained for the theoretical density is 5.715 g/cm3. The formation energy from raw total energies comes out at -8.65 kcal/mol of atoms.

CIF file:
```
data_TlGeS2
_space_group_name_H-M_alt 'P n m a'
_space_group_IT_number 62
_space_group_name_Hall '-P 2ac 2n'
_cell_length_a 8.7650
_cell_length_b 6.5841
_cell_length_c 13.7419
_cell_angle_alpha 90.00
_cell_angle_beta 90.00
_cell_angle_gamma 90.00
loop_
_atom_site_label
_atom_site_type_symbol
_atom_site_fract_x
_atom_site_fract_y
_atom_site_fract_z
Tl1 Tl 0.0212 0.2500 0.1406
Tl2 Tl 0.1411 0.7500 0.3162
Ge1 Ge 0.0856 0.7500 0.5388
Ge2 Ge 0.2362 0.7500 0.0668
S1 S 0.0101 0.2500 0.9205
S2 S 0.1574 0.5050 0.6540
S3 S 0.1753 0.2500 0.4146
```

=====

(10)
First-principles (GGA-PBEsol) data for GeWS2 after structural relaxation, as listed in the Alexandria database.

Properties
As for the total DFT energy (no corrections): -86.38 eV per cell. The value obtained for the theoretical density is 7.469 g/cm3. The formation energy from raw total energies comes out at -7.38 kcal/mol of atoms.

CIF file:
```
data_GeWS2
_space_group_name_H-M_alt 'R -3 m'
_space_group_IT_number 166
_space_group_name_Hall '-R 3 2"'
_cell_length_a 3.1013
_cell_length_b 3.1013
_cell_length_c 25.6702
_cell_angle_alpha 90.00
_cell_angle_beta 90.00
_cell_angle_gamma 120.00
loop_
_atom_site_label
_atom_site_type_symbol
_atom_site_fract_x
_atom_site_fract_y
_atom_site_fract_z
Ge1 Ge 0.0000 0.0000 0.0000
W1 W 0.0000 0.0000 0.5000
S1 S 0.0000 0.0000 0.1034
```

=====

(11)
First-principles (GGA-PBEsol) data for ZnGe3S after structural relaxation, as listed in the Alexandria database.

Properties
As for the total DFT energy (no corrections): -17.50 eV per cell. The value obtained for the theoretical density is 4.929 g/cm3. The formation energy from raw total energies comes out at 15.15 kcal/mol of atoms.

CIF file:
```
data_ZnGe3S
_space_group_name_H-M_alt 'P m -3 m'
_space_group_IT_number 221
_space_group_name_Hall '-P 4 2 3'
_cell_length_a 4.7363
_cell_length_b 4.7363
_cell_length_c 4.7363
_cell_angle_alpha 90.00
_cell_angle_beta 90.00
_cell_angle_gamma 90.00
loop_
_atom_site_label
_atom_site_type_symbol
_atom_site_fract_x
_atom_site_fract_y
_atom_site_fract_z
Zn1 Zn 0.0000 0.0000 0.0000
Ge1 Ge 0.0000 0.0000 0.5000
S1 S 0.5000 0.5000 0.5000
```

=====

(12)
First-principles (GGA-PBEsol) data for ZrGeS2 after structural relaxation, as listed in the Alexandria database.

Properties
As for the total DFT energy (no corrections): -72.23 eV per cell. The value obtained for the theoretical density is 4.672 g/cm3. The formation energy from raw total energies comes out at -7.37 kcal/mol of atoms.

CIF file:
```
data_ZrGeS2
_space_group_name_H-M_alt 'R -3 m'
_space_group_IT_number 166
_space_group_name_Hall '-R 3 2"'
_cell_length_a 3.4521
_cell_length_b 3.4521
_cell_length_c 23.5566
_cell_angle_alpha 90.00
_cell_angle_beta 90.00
_cell_angle_gamma 120.00
loop_
_atom_site_label
_atom_site_type_symbol
_atom_site_fract_x
_atom_site_fract_y
_atom_site_fract_z
Zr1 Zr 0.0000 0.0000 0.0000
Ge1 Ge 0.0000 0.0000 0.5000
S1 S 0.0000 0.0000 0.1046
```